DFT (GGA+U) results for a relaxed structure of AcCoPb2O8.

abc: 4.5507 5.3566 7.0679
angles: 79.33 82.97 82.00
Space group P-1 (No. 2)
Asymmetric unit:
Ac 0.0000 0.0000 0.0000 x1
Co 0.0000 0.0000 0.5000 x1
Pb 0.4285 0.4311 0.2584 x2
O 0.0935 0.7285 0.7187 x2
O 0.1812 0.7985 0.3199 x2
O 0.3291 0.1533 0.5204 x2
O 0.4409 0.2633 0.9951 x2

Output
Electronic total energy = -0.4273 Ry/atom
Total moment = 1.9 μB per cell